No. 1
Pa8Os5Rh after structural relaxation, computed with PBE.

a b c (Å): 7.405 7.405 7.405
angles (deg): 109.43 109.56 109.43
Sites, in units of the cell vectors:
Pa (0.126, 0.754, 0.995)
Pa (0.005, 0.131, 0.758)
Pa (0.738, 0.246, 0.370)
Pa (0.630, 0.368, 0.876)
Pa (0.507, 0.632, 0.262)
Pa (0.627, 0.869, 0.874)
Pa (0.242, 0.246, 0.373)
Pa (0.124, 0.754, 0.493)
Os (0.005, 0.378, 0.129)
Os (0.871, 0.876, 0.249)
Os (0.751, 0.622, 0.627)
Os (0.500, 0.000, 0.500)
Os (0.373, 0.124, 0.995)
Rh (0.250, 0.500, 0.750)

Results
- formation energy (eV/f.u.) = -4.88


No. 2
AcCu4Au after structural relaxation, computed with PBE.

a b c (Å): 5.254 5.254 5.254
angles (deg): 60.00 60.00 60.00
Sites, in units of the cell vectors:
Ac (0.250, 0.250, 0.250)
Au (0.000, 0.000, 0.000)
Cu (0.628, 0.628, 0.117)
Cu (0.628, 0.117, 0.628)
Cu (0.628, 0.628, 0.628)
Cu (0.117, 0.628, 0.628)

Results
- formation energy (eV/f.u.) = -1.13


No. 3
CePrSm4Se8 after structural relaxation, computed with PBE.

a b c (Å): 8.637 8.637 8.670
angles (deg): 60.13 60.13 60.00
Each line ends with the local moment (μB).
Sites, in units of the cell vectors:
Ce (0.999, 0.999, 0.002)  1.08
Pr (0.375, 0.375, 0.875)  0.05
Sm (0.625, 0.625, 0.125)  0.06
Sm (0.999, 0.502, 0.499)  0.07
Sm (0.502, 0.999, 0.499)  0.07
Sm (0.999, 0.999, 0.499)  0.07
Se (0.243, 0.778, 0.737)  -0.01
Se (0.778, 0.243, 0.737)  -0.01
Se (0.243, 0.243, 0.737)  -0.01
Se (0.241, 0.241, 0.278)  0.00
Se (0.755, 0.230, 0.261)  -0.01
Se (0.230, 0.755, 0.261)  -0.01
Se (0.755, 0.755, 0.261)  -0.01
Se (0.757, 0.757, 0.728)  0.00

Results
- formation energy (no corrections) (meV per atom) = -1715


Density of states at the Fermi level
In order: 16.05, 4.12, 13.19
Unit: states/eV/cell
Spin magnetization
In order: 0.0, 0.0, 1.8
Unit: μB per formula unit